A plane-wave DFT calculation with GGA-PBE was carried out for Rb2Cd4SnPb3 after structural relaxation.

Calculated values
SG	P-4m2 (115)
energy of formation	-0.0906	eV per atom
uncorrected energy	-21.6	eV per cell
magnetic moment	0.0	μB per formula unit

Cell lengths 5.059, 5.059, 12.894 Å; angles 90.00, 90.00, 90.00 degrees
Positions (direct):
Sn1 0.500 0.500 0.500
Cd1 0.500 0.500 0.000
Cd2 0.000 0.500 0.364
Cd3 0.500 0.000 0.636
Cd4 0.000 0.000 0.000
Pb1 0.500 0.000 0.867
Pb2 0.000 0.000 0.500
Pb3 0.000 0.500 0.133
Rb1 0.500 0.000 0.249
Rb2 0.000 0.500 0.751